Record 1
A geometry-optimized BaCd2Sb structure, computed with PBE-GGA.

Output
ρ ... 6.10 Mg/m³
E ... -2.30 eV per atom

abc: 6.6298 6.6298 6.6298
angles: 44.84 44.84 44.84
With the nearest neighbours (Å) after each atom.
Fractional coordinates of all 4 atoms:
Cd  0.9752  0.9752  0.9752  3 Sb 3.10
Sb  0.2500  0.2500  0.2500  6 Cd 3.10
Cd  0.5248  0.5248  0.5248  3 Sb 3.10
Ba  0.7500  0.7500  0.7500  6 Cd 3.50

---

Record 2
A geometry-optimized PuNi2H7 structure, computed with PBE-GGA.

Output
ρ ... 8.39 Mg/m³
E ... -5.07 eV per atom

abc: 3.3959 5.1144 5.1144
angles: 124.87 90.00 90.00
With the nearest neighbours (Å) after each atom.
Fractional coordinates of all 10 atoms:
H  0.5000  0.3176  0.0206  2 Ni 1.60-1.73, 1 H 1.60
H  0.5000  0.6824  0.9794  2 Ni 1.60-1.73, 1 H 1.60
H  0.5000  0.5000  0.5000  2 Ni 1.65
Pu  0.0000  0.0000  0.0000  8 H 2.31
H  0.0000  0.6631  0.3369  2 Ni 1.71
H  0.0000  0.3369  0.6631  2 Ni 1.71
Ni  0.5000  0.3183  0.6817  7 H 1.60-1.73
Ni  0.5000  0.6817  0.3183  7 H 1.60-1.73
H  0.5000  0.9794  0.6824  2 Ni 1.60-1.73, 1 H 1.60
H  0.5000  0.0206  0.3176  2 Ni 1.60-1.73, 1 H 1.60

---

Record 3
A geometry-optimized TbTmMgPb structure, computed with PBE-GGA.

Output
Formation energy ... -0.252 eV per atom
ρ ... 8.60 Mg/m³
E ... -3.85 eV per atom

abc: 5.3453 5.3453 5.3453
angles: 60.00 60.00 60.00
With the nearest neighbours (Å) after each atom.
Fractional coordinates of all 4 atoms:
Pb  0.5000  0.5000  0.5000  4 Tm 3.27, 4 Tb 3.27
Mg  0.0000  0.0000  0.0000  4 Tb 3.27, 4 Tm 3.27
Tm  0.7500  0.7500  0.7500  4 Mg 3.27, 4 Pb 3.27
Tb  0.2500  0.2500  0.2500  4 Pb 3.27, 4 Mg 3.27

---

> What is the formula in the first record?

BaCd2Sb

---

> Which formula does entry 1 have?

BaCd2Sb